Density functional theory data (PBE) for Sc4PdPt after structural relaxation.

a b c (Å): 4.571 4.571 6.482
angles (deg): 89.99 89.99 90.00
Fractional positions:
Sc 0.001 0.498 0.744
Sc 0.501 0.997 0.252
Sc 0.501 0.998 0.744
Sc 0.001 0.497 0.252
Pd 0.501 0.497 0.998
Pt 0.001 0.997 0.498

Properties
Mass density (g cm⁻³): 5.90
Formation enthalpy at 0 K (eV/atom): -0.654
Space-group type: P4/mmm, No. 123
Total moment (μB per formula unit): 0.00